Entry from Alexandria via LeMat-Bulk: a geometry-optimized ZrCuAgP2 structure (GGA-PBEsol).

Computed properties:
- space-group type = P4/mmm
- raw total energy (eV/atom) = -4.69
- energy relative to the elements (eV per atom) = 0.970

abc: 4.8728 4.8728 5.2755
angles: 90.00 90.00 90.00
Closest atoms and distances in Å follow each position.
Atoms (fractional coordinates):
Zr (0.0000, 0.0000, 0.0000)  4 P 2.44, 2 Ag 2.64
Cu (0.5000, 0.5000, 0.5000)  4 Ag 3.45, 8 P 3.59
Ag (0.0000, 0.0000, 0.5000)  2 Zr 2.64
P (0.0000, 0.5000, 0.0000)  2 Zr 2.44
P (0.5000, 0.0000, 0.0000)  2 Zr 2.44